No. 1
The following is a DFT calculation (GGA-PBE) of a relaxed structure of Ho2VTc.

Values from the calculation:
Fermi-level density of states, states/eV/f.u.: 4.7
Mass density, g cm⁻³: 8.7
Calculated formation energy, eV per atom: 0.6677
DFT total energy, Ha/atom: -0.23859

abc: 3.246 3.246 10.179
angles: 80.83 80.83 60.00
Site moments in Bohr magnetons follow the coordinates.
Positions (direct):
Ho  0.097  0.097  0.710  0.02
Ho  0.903  0.903  0.290  0.02
Tc  0.500  0.500  0.500  0.01
V  0.000  0.000  0.000  2.29

---

No. 2
The following is a DFT calculation (GGA-PBE) of a relaxed structure of K3Pa3SbTe8.

Values from the calculation:
Fermi-level density of states, states/eV/f.u.: 18.7
Mass density, g cm⁻³: 5.6
Energy relative to the elements, uncorrected, eV/atom: -0.7953
DFT total energy, Ha/atom: -0.17876

abc: 8.887 8.886 9.896
angles: 116.68 89.99 120.01
Site moments in Bohr magnetons follow the coordinates.
Positions (direct):
Pa  0.500  0.000  0.500  1.39
Pa  0.000  0.500  0.500  1.39
Pa  0.500  0.500  0.500  1.39
Te  0.738  0.476  0.714  -0.04
Te  0.736  0.972  0.709  -0.03
Te  0.764  0.028  0.291  -0.03
Te  0.264  0.028  0.291  -0.03
Te  0.764  0.527  0.291  -0.03
Te  0.236  0.473  0.709  -0.03
Te  0.262  0.524  0.286  -0.04
Te  0.236  0.972  0.709  -0.03
K  0.000  0.000  0.000  0.00
K  0.500  0.500  0.000  0.00
K  0.000  0.500  0.000  0.00
Sb  0.000  0.000  0.500  0.03

---

No. 3
The following is a DFT calculation (GGA-PBE) of a relaxed structure of Rb2LaAgBr6.

Values from the calculation:
Fermi-level density of states, states/eV/f.u.: 0.0
Mass density, g cm⁻³: 4.0
Energy relative to the elements, uncorrected, eV/atom: -1.5776
Excess energy over the best structure of this formula in the dataset, meV per atom: 0
DFT total energy, Ha/atom: -0.13056

abc: 7.960 8.295 11.202
angles: 90.00 90.47 90.00
Positions (direct):
Br  0.202  0.201  0.045
Br  0.199  0.206  0.457
Br  0.412  0.981  0.744
Br  0.699  0.294  0.957
Br  0.798  0.799  0.955
Br  0.912  0.519  0.244
Br  0.588  0.019  0.256
Br  0.301  0.706  0.043
Br  0.298  0.701  0.455
Br  0.801  0.794  0.543
Br  0.088  0.481  0.756
Br  0.702  0.299  0.545
La  0.500  0.000  0.000
La  0.000  0.500  0.500
Rb  0.020  0.933  0.249
Rb  0.980  0.067  0.751
Rb  0.480  0.433  0.251
Rb  0.520  0.567  0.749
Ag  0.000  0.500  0.000
Ag  0.500  0.000  0.500

---

No. 4
The following is a DFT calculation (GGA-PBE) of a relaxed structure of Ce4Pm3ErS8.

Values from the calculation:
Fermi-level density of states, states/eV/f.u.: 22.3
Mass density, g cm⁻³: 6.5
Energy relative to the elements, uncorrected, eV/atom: -2.0327
DFT total energy, Ha/atom: -0.24827

abc: 8.012 8.027 8.012
angles: 119.94 120.00 90.00
Site moments in Bohr magnetons follow the coordinates.
Positions (direct):
S  0.250  0.250  0.500  -0.01
S  0.750  0.750  0.500  -0.01
S  0.756  0.745  0.000  -0.01
S  0.756  0.255  0.000  -0.01
S  0.244  0.745  0.489  -0.01
S  0.756  0.255  0.511  -0.01
S  0.244  0.745  0.000  -0.01
S  0.244  0.255  0.000  -0.01
Pm  0.500  0.500  0.500  -0.01
Pm  0.000  0.500  0.500  -0.01
Pm  0.500  0.500  0.000  -0.01
Ce  0.500  0.000  0.000  0.73
Ce  0.000  0.000  0.500  0.58
Ce  0.000  0.000  0.000  0.58
Ce  0.500  0.000  0.500  0.58
Er  0.000  0.500  0.000  0.00